# LiMnVCd2

A geometry-optimized LiMnVCd2 structure (PBE-GGA, Alexandria).

Computed properties:
Density ... 4.333 g/cm3
Electronic total energy ... -0.1218 hartree per atom
M_tot ... 0.659 μB per formula unit
Calculated volume ... 129.40 Å³ per cell

Lattice parameters (Å, degrees): 5.2185 4.7517 5.2185 90.00 90.00 90.00
Last column: nearest neighbours and their distance in Å.
Atoms (fractional coordinates):
Cd 0.0000 0.0000 0.5000  2 V 2.61
Cd 0.5000 0.0000 0.0000  2 V 2.61
Li 0.0000 0.5000 0.0000  2 V 2.38
V 0.0000 0.0000 0.0000  2 Li 2.38, 4 Cd 2.61
Mn 0.5000 0.5000 0.5000  8 Cd 3.53, 4 Li 3.69

---

# LiCdMo2

A geometry-optimized LiCdMo2 structure (PBE-GGA, Alexandria).

Computed properties:
Density ... 7.604 g/cm3
Electronic total energy ... -0.2101 hartree per atom
M_tot ... 0.000 μB per formula unit
Calculated volume ... 67.97 Å³ per cell

Lattice parameters (Å, degrees): 5.1840 5.1840 5.1840 142.83 124.89 68.35
Last column: nearest neighbours and their distance in Å.
Atoms (fractional coordinates):
Mo 0.9849 0.9849 0.0000  2 Mo 2.43
Mo 0.7768 0.2768 0.5000  2 Mo 2.43
Li 0.2475 0.7475 0.5000  2 Cd 2.66, 6 Mo 2.79-2.92
Cd 0.4907 0.4907 0.0000  2 Li 2.66, 6 Mo 2.91-2.96

---

Copy entry 1 word for word.
# LiMnVCd2

A geometry-optimized LiMnVCd2 structure (PBE-GGA, Alexandria).

Computed properties:
Density ... 4.333 g/cm3
Electronic total energy ... -0.1218 hartree per atom
M_tot ... 0.659 μB per formula unit
Calculated volume ... 129.40 Å³ per cell

Lattice parameters (Å, degrees): 5.2185 4.7517 5.2185 90.00 90.00 90.00
Last column: nearest neighbours and their distance in Å.
Atoms (fractional coordinates):
Cd 0.0000 0.0000 0.5000  2 V 2.61
Cd 0.5000 0.0000 0.0000  2 V 2.61
Li 0.0000 0.5000 0.0000  2 V 2.38
V 0.0000 0.0000 0.0000  2 Li 2.38, 4 Cd 2.61
Mn 0.5000 0.5000 0.5000  8 Cd 3.53, 4 Li 3.69

---

Copy entry 1 word for word.
# LiMnVCd2

A geometry-optimized LiMnVCd2 structure (PBE-GGA, Alexandria).

Computed properties:
Density ... 4.333 g/cm3
Electronic total energy ... -0.1218 hartree per atom
M_tot ... 0.659 μB per formula unit
Calculated volume ... 129.40 Å³ per cell

Lattice parameters (Å, degrees): 5.2185 4.7517 5.2185 90.00 90.00 90.00
Last column: nearest neighbours and their distance in Å.
Atoms (fractional coordinates):
Cd 0.0000 0.0000 0.5000  2 V 2.61
Cd 0.5000 0.0000 0.0000  2 V 2.61
Li 0.0000 0.5000 0.0000  2 V 2.38
V 0.0000 0.0000 0.0000  2 Li 2.38, 4 Cd 2.61
Mn 0.5000 0.5000 0.5000  8 Cd 3.53, 4 Li 3.69